HgIrS2 | PBE | optimized geometry

Lattice parameters (Å, degrees): 6.448 6.448 6.379 59.64 59.64 90.00
Fractional positions:
Ir1 0.500 0.500 0.000
S1 0.548 0.125 0.250
Hg1 0.000 0.000 0.000
Hg2 0.750 0.250 0.500
Ir2 0.250 0.750 0.500
S2 0.202 0.625 0.250
S3 0.875 0.798 0.750
S4 0.375 0.452 0.750

- energy (eV per atom) = -4.326
- total magnetic moment (μB per cell) = 0.00